Entry 1:
Material: Tb2PmScTl2
Method: DFT, PBE-GGA
State: optimized geometry

Cell lengths 4.9926, 9.8521, 6.9616 Å; angles 90.00, 90.00, 90.00 degrees
Closest atoms and distances in Å follow each position.
Space group Pmc2_1 (No. 26)
Symmetry-distinct sites (fractional):
Tb  0.0000  0.0502  0.0000 [2 per cell]  5 Tl 3.21-3.52, 2 Tb 3.49, 1 Sc 3.57
Tb  0.5000  0.1856  0.2921 [2 per cell]  4 Tl 3.15-3.23, 2 Tb 3.49
Pm  0.5000  0.4514  0.9017 [2 per cell]  5 Tl 3.24-3.39, 2 Sc 3.52, 2 Pm 3.61
Sc  0.0000  0.3037  0.6122 [2 per cell]  4 Tl 3.11-3.17
Tl  0.0000  0.3776  0.1783 [2 per cell]  2 Sc 3.11-3.17, 3 Tb 3.23-3.46, 4 Pm 3.24-3.39
Tl  0.5000  0.1376  0.7388 [2 per cell]  2 Sc 3.11, 4 Tb 3.15-3.21, 1 Pm 3.29

## Properties
For the magnetization, the calculation gives 0.00 μB/atom. Its formation energy is -1.6 eV/f.u.

Entry 2:
Material: TbPmSc2Tl4
Method: DFT, PBE-GGA
State: optimized geometry

Cell lengths 5.2747, 5.2747, 25.8851 Å; angles 90.00, 90.00, 120.00 degrees
Closest atoms and distances in Å follow each position.
Space group R-3m (No. 166, hexagonal axes)
Symmetry-distinct sites (fractional):
Tb  0.0000  0.0000  0.0000 [3 per cell]  8 Tl 3.21-3.22
Pm  0.0000  0.0000  0.5000 [3 per cell]  8 Tl 3.24-3.26
Sc  0.0000  0.0000  0.2502 [6 per cell]  8 Tl 3.20-3.27
Tl  0.0000  0.0000  0.1238 [6 per cell]  1 Tb 3.21, 4 Sc 3.22-3.27, 3 Pm 3.24
Tl  0.0000  0.0000  0.3739 [6 per cell]  4 Sc 3.20-3.24, 3 Tb 3.22, 1 Pm 3.26

## Properties
For the magnetization, the calculation gives 0.00 μB/atom. Its formation energy is -2.4 eV/f.u.

Entry 3:
Material: TbPm4Tm2Sc
Method: DFT, PBE-GGA
State: optimized geometry

Cell lengths 6.1567, 3.5690, 11.6598 Å; angles 90.00, 100.28, 90.00 degrees
Closest atoms and distances in Å follow each position.
Space group P2/m (No. 10)
Symmetry-distinct sites (fractional):
Tb  0.0000  0.0000  0.0000 [1 per cell]  4 Tm 3.56, 6 Pm 3.56-3.58, 2 Tb 3.57
Pm  0.2463  0.0000  0.7438 [2 per cell]  2 Sc 3.47, 3 Tm 3.48-3.59, 6 Pm 3.55-3.57, 1 Tb 3.58
Pm  0.2504  0.5000  0.2534 [2 per cell]  1 Sc 3.50, 3 Tm 3.50-3.57, 6 Pm 3.55-3.57, 2 Tb 3.56
Tm  0.5000  0.0000  0.5000 [1 per cell]  6 Pm 3.48-3.50, 4 Sc 3.56, 2 Tm 3.57
Tm  0.5000  0.5000  0.0000 [1 per cell]  4 Tb 3.56, 6 Pm 3.57-3.59, 2 Tm 3.57
Sc  0.0000  0.5000  0.5000 [1 per cell]  6 Pm 3.47-3.50, 4 Tm 3.56, 2 Sc 3.57

## Properties
For the magnetization, the calculation gives 0.00 μB/atom. Its formation energy is 0.3 eV/f.u.

Entry 4:
Material: TbPmTm3Sc
Method: DFT, PBE-GGA
State: optimized geometry

Cell lengths 4.9373, 14.8010, 9.8791 Å; angles 90.00, 90.00, 90.00 degrees
Closest atoms and distances in Å follow each position.
Space group Cmcm (No. 63)
Symmetry-distinct sites (fractional):
Tb  0.0000  0.0000  0.0000 [4 per cell]  4 Pm 3.49, 6 Tm 3.51-3.53, 2 Sc 3.51
Pm  0.0000  0.4982  0.2500 [4 per cell]  2 Sc 3.49, 6 Tm 3.49-3.54, 4 Tb 3.49
Tm  0.0000  0.1700  0.2500 [4 per cell]  2 Sc 3.44, 6 Tm 3.44-3.49, 2 Tb 3.53, 2 Pm 3.54
Tm  0.0000  0.3315  0.0001 [8 per cell]  5 Tm 3.44-3.49, 3 Sc 3.45-3.49, 2 Pm 3.49-3.53, 2 Tb 3.51
Sc  0.0000  0.1685  0.7500 [4 per cell]  8 Tm 3.44-3.49, 2 Pm 3.49, 2 Tb 3.51

## Properties
For the magnetization, the calculation gives 0.00 μB/atom. Its formation energy is 0.2 eV/f.u.

Entry 5:
Material: Tb6Pm3Tm2Sc
Method: DFT, PBE-GGA
State: optimized geometry

Cell lengths 6.1526, 10.6525, 11.7386 Å; angles 90.00, 100.05, 90.00 degrees
Closest atoms and distances in Å follow each position.
Space group C2/m (No. 12)
Symmetry-distinct sites (fractional):
Tb  0.2464  0.1655  0.2432 [8 per cell]  1 Sc 3.47, 2 Tm 3.48, 6 Tb 3.53-3.56, 3 Pm 3.60-3.62
Tb  0.2501  0.0000  0.7566 [4 per cell]  1 Sc 3.47, 2 Tm 3.48, 6 Tb 3.53-3.56, 3 Pm 3.60-3.61
Pm  0.0000  0.1667  0.5000 [4 per cell]  6 Pm 3.55, 6 Tb 3.60-3.62
Pm  0.0000  0.5000  0.5000 [2 per cell]  6 Pm 3.55, 6 Tb 3.60-3.61
Tm  0.0000  0.3335  0.0000 [4 per cell]  6 Tb 3.48, 3 Tm 3.55, 3 Sc 3.55
Sc  0.0000  0.0000  0.0000 [2 per cell]  6 Tb 3.47, 6 Tm 3.55

## Properties
For the magnetization, the calculation gives 0.00 μB/atom. Its formation energy is 0.4 eV/f.u.

Entry 6:
Material: Tb3Pm6Tm2Sc
Method: DFT, PBE-GGA
State: optimized geometry

Cell lengths 6.2030, 10.7417, 11.7163 Å; angles 90.00, 100.13, 90.00 degrees
Closest atoms and distances in Å follow each position.
Space group C2/m (No. 12)
Symmetry-distinct sites (fractional):
Tb  0.0000  0.0000  0.0000 [2 per cell]  6 Tb 3.58, 6 Pm 3.59
Tb  0.0000  0.3333  0.0000 [4 per cell]  6 Tb 3.58, 6 Pm 3.58-3.60
Pm  0.2471  0.3346  0.7456 [8 per cell]  1 Sc 3.50, 2 Tm 3.51, 6 Pm 3.55-3.59, 3 Tb 3.58-3.60
Pm  0.2493  0.5000  0.2540 [4 per cell]  1 Sc 3.50, 2 Tm 3.51, 6 Pm 3.56-3.59, 3 Tb 3.58-3.59
Tm  0.0000  0.1665  0.5000 [4 per cell]  6 Pm 3.51, 3 Tm 3.58, 3 Sc 3.58
Sc  0.0000  0.5000  0.5000 [2 per cell]  6 Pm 3.50, 6 Tm 3.58

## Properties
For the magnetization, the calculation gives 0.00 μB/atom. Its formation energy is 0.3 eV/f.u.